Record 1
VASP calculation (PBE) on crystalline Zn4TcHg at its relaxed geometry.

Values from the calculation:
- formation enthalpy at 0 K (meV per atom) = 291.5
- energy (eV per cell) = -14.0
- Fermi-level density of states (states/eV/cell) = 4.79
- symmetry = F-43m (216)

Structure (extended XYZ):
```
6
Lattice="-0.0841 -3.2368 3.8973 -2.6628 -4.2978 -0.3332 2.4017 -4.4478 -0.3485" Properties=species:S:1:pos:R:3 pbc="T T T"
Hg -0.2589 -8.9868 2.4117
Zn -0.1715 -6.1130 3.1698
Tc 0.0000 0.0000 0.0000
Zn -1.4736 -6.6487 1.0336
Zn -0.1290 -4.4786 1.2019
Zn 1.0837 -6.7245 1.0259
```

Record 2
VASP calculation (PBE) on crystalline ZnTcHg at its relaxed geometry.

Values from the calculation:
- formation enthalpy at 0 K (meV per atom) = 747.1
- energy (eV per cell) = -9.7
- Fermi-level density of states (states/eV/cell) = 2.55
- symmetry = F-43m (216)
- energy relative to the lowest polymorph listed for this composition (meV per atom) = 667.6

Structure (extended XYZ):
```
3
Lattice="4.3088 0.0000 0.0000 2.1544 3.7315 0.0000 2.1544 1.2438 3.5181" Properties=species:S:1:pos:R:3 pbc="T T T"
Zn 6.4632 3.7315 2.6386
Tc 4.3088 2.4877 1.7591
Hg 0.0000 0.0000 0.0000
```

Record 3
VASP calculation (PBE) on crystalline Zn2TcHg at its relaxed geometry.

Values from the calculation:
- formation enthalpy at 0 K (meV per atom) = 261.9
- energy (eV per cell) = -12.2
- Fermi-level density of states (states/eV/cell) = 2.23
- symmetry = Cmmm (65)

Structure (extended XYZ):
```
4
Lattice="2.7992 -0.0575 0.0000 -0.7692 2.6920 0.0000 0.0000 0.0000 9.0043" Properties=species:S:1:pos:R:3 pbc="T T T"
Zn 0.0000 0.0000 4.7448
Hg 1.0150 1.3172 2.2511
Tc 1.0150 1.3172 6.7532
Zn 0.0000 0.0000 8.7616
```

Record 4
VASP calculation (PBE) on crystalline ZnTcHg2 at its relaxed geometry.

Values from the calculation:
- formation enthalpy at 0 K (meV per atom) = 529.4
- energy (eV per cell) = -10.1
- Fermi-level density of states (states/eV/cell) = 3.19
- symmetry = Pmmm (47)

Structure (extended XYZ):
```
4
Lattice="-0.1158 2.8309 -0.6282 -1.5532 0.7986 3.8854 5.4450 0.6749 2.0379" Properties=species:S:1:pos:R:3 pbc="T T T"
Zn 3.2492 2.3210 3.1571
Hg 2.7047 0.3353 1.0123
Tc 0.5267 1.9835 2.1381
Hg 0.0178 0.0022 0.0066
```

Record 5
VASP calculation (PBE) on crystalline Zn2TcHg at its relaxed geometry.

Values from the calculation:
- formation enthalpy at 0 K (meV per atom) = 313.8
- energy (eV per cell) = -12.0
- Fermi-level density of states (states/eV/cell) = 2.37
- symmetry = Pmm2 (25)

Structure (extended XYZ):
```
4
Lattice="-2.6045 0.7676 -0.5751 -0.1997 -2.8763 -2.9348 -1.9608 -3.7787 3.8367" Properties=species:S:1:pos:R:3 pbc="T T T"
Zn -1.8721 -1.9601 -0.8353
Tc -2.9359 -4.0102 1.2463
Zn -1.9242 -3.7080 3.7650
Hg -0.9740 -1.8770 1.9059
```

Record 6
VASP calculation (PBE) on crystalline Zn2TcHg at its relaxed geometry.

Values from the calculation:
- formation enthalpy at 0 K (meV per atom) = 339.0
- energy (eV per cell) = -11.9
- Fermi-level density of states (states/eV/cell) = 2.42
- symmetry = P4mm (99)

Structure (extended XYZ):
```
4
Lattice="-1.9592 -2.1139 1.1921 2.1875 -0.8748 2.0439 -2.2675 4.5739 4.3843" Properties=species:S:1:pos:R:3 pbc="T T T"
Tc -1.6671 2.0986 5.0619
Zn -0.0034 0.0069 0.0066
Zn -0.3777 -0.5021 2.5691
Hg -1.1248 2.2688 2.1748
```

- The lowest formation enthalpy at 0 K belongs to which entry?
  number 3

- Among the records above, which one has the highest formation enthalpy at 0 K?
  ZnTcHg